(1)
Entry from the Alexandria database: Ac6Ag2Au after structural relaxation (GGA-PBE).

Cell: 9.4429 9.4429 9.4429 Å, 110.45 109.74 108.23°
With the nearest neighbours (Å) after each atom.
Atoms (fractional coordinates):
1 Ac 0.0312 0.8281 0.2031  3 Ag 3.15-3.33
2 Ac 0.2580 0.5749 0.3170  2 Au 3.33-3.47, 2 Ag 3.38-3.65
3 Ac 0.2580 0.9410 0.6830  2 Au 3.33-3.47, 2 Ag 3.38-3.65
4 Ac 0.2601 0.3283 0.5884  1 Au 3.38, 3 Ag 3.42-3.48, 1 Ac 3.70
5 Ac 0.2601 0.6717 0.9318  1 Au 3.38, 3 Ag 3.42-3.48, 1 Ac 3.70
6 Ac 0.3750 0.1719 0.2031  3 Ag 3.15-3.33
7 Ac 0.6250 0.8281 0.7969  3 Ag 3.15-3.33
8 Ac 0.7399 0.3283 0.0682  1 Au 3.38, 3 Ag 3.42-3.48, 1 Ac 3.70
9 Ac 0.7399 0.6717 0.4116  1 Au 3.38, 3 Ag 3.42-3.48, 1 Ac 3.70
10 Ac 0.7420 0.0590 0.3170  2 Au 3.33-3.47, 2 Ag 3.38-3.65
11 Ac 0.7420 0.4251 0.6830  2 Au 3.33-3.47, 2 Ag 3.38-3.65
12 Ac 0.9688 0.1719 0.7969  3 Ag 3.15-3.33
13 Ag 0.0000 0.1493 0.1493  1 Ag 3.22, 8 Ac 3.33-3.42
14 Ag 0.0000 0.8507 0.8507  1 Ag 3.22, 8 Ac 3.33-3.42
15 Ag 0.3753 0.3753 0.0000  1 Ag 2.76
16 Ag 0.6247 0.6247 0.0000  1 Ag 2.76
17 Au 0.0000 0.5000 0.5000  8 Ac 3.38-3.47, 2 Ag 3.78
18 Au 0.5000 0.0000 0.5000  4 Ac 3.33

Calculated values
Electronic total energy ... -3.965 eV per atom
Total magnetization ... 0.00 μB per atom
ΔE_f ... -0.228 eV/atom
Space group ... Immm (71)

---

(2)
Entry from the Alexandria database: Ac2AgAu after structural relaxation (GGA-PBE).

Cell: 3.9305 3.9305 7.8849 Å, 90.00 90.00 90.00°
With the nearest neighbours (Å) after each atom.
Atoms (fractional coordinates):
1 Ac 0.0000 0.0000 0.2435  4 Au 3.38, 4 Ag 3.44
2 Ac 0.0000 0.0000 0.7565  4 Au 3.38, 4 Ag 3.44
3 Ag 0.5000 0.5000 0.5000  8 Ac 3.44
4 Au 0.5000 0.5000 0.0000  8 Ac 3.38

Calculated values
Electronic total energy ... -4.106 eV per atom
Total magnetization ... 0.00 μB per atom
ΔE_f ... -0.520 eV/atom
Space group ... P4/mmm (123)

---

(3)
Entry from the Alexandria database: Ac4AgAu2 after structural relaxation (GGA-PBE).

Cell: 8.7339 8.7339 10.1245 Å, 125.36 125.36 69.97°
With the nearest neighbours (Å) after each atom.
Atoms (fractional coordinates):
1 Ac 0.1959 0.8034 0.9393  3 Au 3.10-3.22, 1 Ag 3.22
2 Ac 0.1966 0.8041 0.5607  3 Au 3.10-3.22, 1 Ag 3.22
3 Ac 0.2567 0.3641 0.0607  3 Au 3.10-3.22, 1 Ag 3.22
4 Ac 0.3641 0.2567 0.5607  3 Au 3.10-3.22, 1 Ag 3.22
5 Ac 0.6359 0.7433 0.4393  3 Au 3.10-3.22, 1 Ag 3.22
6 Ac 0.7433 0.6359 0.9393  3 Au 3.10-3.22, 1 Ag 3.22
7 Ac 0.8034 0.1959 0.4393  3 Au 3.10-3.22, 1 Ag 3.22
8 Ac 0.8041 0.1966 0.0607  3 Au 3.10-3.22, 1 Ag 3.22
9 Ag 0.1243 0.8757 0.2500  4 Ac 3.22
10 Ag 0.8757 0.1243 0.7500  4 Ac 3.22
11 Au 0.0000 0.5000 0.5000  6 Ac 3.10-3.22
12 Au 0.5000 0.0000 0.0000  6 Ac 3.10-3.22
13 Au 0.5000 0.5000 0.0000  6 Ac 3.10-3.22
14 Au 0.5000 0.5000 0.5000  6 Ac 3.10-3.22

Calculated values
Electronic total energy ... -4.130 eV per atom
Total magnetization ... 0.00 μB per atom
Polymorph energy (0 for the lowest one) ... 0.0103 eV per atom
ΔE_f ... -0.439 eV/atom
Space group ... C2/c (15)